{"formula": "DyTmCu2B2N2", "functional": "PBE", "state": "relaxed", "lattice": [[3.477, 0.000, 0.000], [0.000, 3.477, 0.000], [0.000, 0.000, 7.673]], "species": ["Dy", "N", "N", "B", "B", "Cu", "Cu", "Tm"], "frac_coords": [[0.000, 0.000, 0.835], [0.000, 0.000, 0.137], [0.500, 0.500, 0.865], [0.000, 0.000, 0.325], [0.500, 0.500, 0.676], [0.000, 0.500, 0.499], [0.500, 0.000, 0.499], [0.500, 0.500, 0.163]], "e_tot_ev_per_cell": -53.75}